Computed, not measured: an optimized crystal structure of K5Na8In at the GGA-PBE level of DFT.

Values from the calculation:
DOS at the Fermi energy: 9.05 states/eV/cell
Total DFT energy (no corrections): -1.305 eV/atom
Energy relative to the elements: 36 meV per atom

abc: 9.6840 9.6840 9.6840
angles: 112.02 112.02 104.48
Sites, in units of the cell vectors:
1 K 0.0000 0.0000 0.0000
2 K 0.0903 0.4140 0.8606
3 K 0.5534 0.2297 0.1394
4 K 0.5860 0.4466 0.6763
5 K 0.7703 0.9097 0.3237
6 Na 0.0983 0.3718 0.4212
7 Na 0.2380 0.0964 0.6357
8 Na 0.3229 0.9017 0.2735
9 Na 0.3976 0.7620 0.8584
10 Na 0.4608 0.6024 0.3643
11 Na 0.6282 0.0494 0.7265
12 Na 0.9036 0.5392 0.1416
13 Na 0.9506 0.6771 0.5788
14 In 0.2500 0.7500 0.5000

---

Computed, not measured: an optimized crystal structure of K3NaIn8 at the GGA-PBE level of DFT.

Values from the calculation:
DOS at the Fermi energy: 8.33 states/eV/cell
Total DFT energy (no corrections): -2.316 eV/atom
Energy relative to the elements: -107 meV per atom

abc: 10.9790 10.9790 10.9790
angles: 34.17 34.17 34.17
Sites, in units of the cell vectors:
1 K 0.0000 0.0000 0.0000
2 K 0.1247 0.1247 0.1247
3 K 0.6232 0.6232 0.6232
4 Na 0.4993 0.4993 0.4993
5 In 0.0611 0.0611 0.5593
6 In 0.0611 0.5593 0.0611
7 In 0.0651 0.5626 0.5626
8 In 0.3119 0.3119 0.3119
9 In 0.5593 0.0611 0.0611
10 In 0.5626 0.0651 0.5626
11 In 0.5626 0.5626 0.0651
12 In 0.8121 0.8121 0.8121